VASP calculation (GGA-PBE) on AgOsBrO4 after structural relaxation.

Properties
The value obtained for the formation energy (no corrections) is -69.7 kJ per mole of atoms. The total magnetic moment is 0.0 μB per cell. For the total energy, the calculation gives -162.575 eV for the cell shown. Its theoretical density is 4.4 g cm⁻³.

```
data_AgOsBrO4
_chemical_formula_sum 'Ag4 Os4 Br4 O16'
_cell_length_a 11.538
_cell_length_b 8.139
_cell_length_c 8.345
_cell_angle_alpha 90.00
_cell_angle_beta 122.23
_cell_angle_gamma 90.00
_space_group_name_H-M_alt 'C 1 2/m 1'
_space_group_IT_number 12
_space_group_name_Hall '-C 2y'
loop_
_atom_site_label
_atom_site_type_symbol
_atom_site_fract_x
_atom_site_fract_y
_atom_site_fract_z
Ag1 Ag 0.152 0.000 0.146
Os1 Os 0.124 0.500 0.316
Br1 Br 0.051 0.000 0.785
O1 O 0.050 0.500 0.846
O2 O 0.158 0.500 0.546
O3 O 0.196 0.327 0.283
```